No. 1
{"formula": "HfSeIO2", "functional": "GGA-PBEsol", "state": "relaxed", "lattice": [[-3.385, -1.363, -1.671], [1.817, -0.126, -3.577], [1.813, -5.888, 1.129]], "species": ["I", "Hf", "O", "O", "Se"], "frac_coords": [[0.000, 0.000, 0.500], [0.000, 0.000, 0.000], [0.000, 0.500, 0.000], [0.500, 0.000, 0.000], [0.500, 0.500, 0.500]], "raw_formation_energy_ev_per_atom": -1.386}



No. 2
{"formula": "YScTl2", "functional": "GGA-PBEsol", "state": "relaxed", "lattice": [[-1.503, 3.052, -0.040], [-1.739, -0.903, -3.601], [-5.432, -2.633, 3.285]], "species": ["Y", "Sc", "Tl", "Tl"], "frac_coords": [[0.500, 0.500, 0.000], [0.500, 0.500, 0.500], [0.000, 0.000, 0.734], [0.000, 0.000, 0.266]], "final_energy_ev_per_atom": -5.074}



No. 3
{"formula": "Ba2Mg", "functional": "GGA-PBEsol", "state": "relaxed", "lattice": [[-4.385, 0.970, 5.709], [-2.561, -2.349, -6.378], [4.488, -5.298, 2.132]], "species": ["Mg", "Mg", "Ba", "Ba", "Ba", "Ba"], "frac_coords": [[0.250, 0.250, 0.000], [0.750, 0.750, 0.000], [0.668, 0.168, 0.837], [0.168, 0.332, 0.500], [0.832, 0.668, 0.500], [0.332, 0.832, 0.163]], "final_energy_ev_per_atom": -1.986}



No. 4
{"formula": "YRe2RhN", "functional": "GGA-PBEsol", "state": "relaxed", "lattice": [[-0.658, -4.414, 1.423], [-0.556, -1.403, -4.607], [4.768, -0.816, -0.327]], "species": ["Y", "Re", "Re", "Rh", "N"], "frac_coords": [[0.000, 0.000, 0.000], [0.000, 0.000, 0.500], [0.000, 0.500, 0.000], [0.500, 0.000, 0.000], [0.500, 0.500, 0.500]], "raw_formation_energy_ev_per_atom": 3.923}



No. 5
{"formula": "LiBeTe2I", "functional": "GGA-PBEsol", "state": "relaxed", "lattice": [[-3.281, 1.976, -3.288], [-3.666, -2.890, 1.922], [-1.149, 3.699, 3.370]], "species": ["I", "Be", "Te", "Te", "Li"], "frac_coords": [[0.000, 0.000, 0.500], [0.500, 0.500, 0.500], [0.000, 0.500, 0.000], [0.500, 0.000, 0.000], [0.000, 0.000, 0.000]], "raw_formation_energy_ev_per_atom": 0.636}



No. 6
{"formula": "LiMnCr2", "functional": "GGA-PBEsol", "state": "relaxed", "lattice": [[2.314, 0.000, 0.000], [0.000, 2.314, 0.000], [0.000, 0.000, 8.596]], "species": ["Cr", "Cr", "Li", "Mn"], "frac_coords": [[0.000, 0.000, 0.995], [0.500, 0.500, 0.237], [0.000, 0.000, 0.506], [0.500, 0.500, 0.761]], "de_polymorph_ev_per_atom": 0.0000}



No. 7
{"formula": "Ga3SnPb", "functional": "GGA-PBEsol", "state": "relaxed", "lattice": [[-1.365, -4.606, 1.956], [4.990, -1.403, 0.180], [0.370, 1.929, 4.800]], "species": ["Pb", "Sn", "Ga", "Ga", "Ga"], "frac_coords": [[0.500, 0.500, 0.500], [0.000, 0.000, 0.000], [0.000, 0.500, 0.000], [0.000, 0.000, 0.500], [0.500, 0.000, 0.000]], "final_energy_ev_per_atom": -3.125}



No. 8
{"formula": "Hf3HgI", "functional": "GGA-PBEsol", "state": "relaxed", "lattice": [[5.210, 0.000, 0.000], [0.000, 5.210, 0.000], [0.000, 0.000, 5.210]], "species": ["I", "Hf", "Hf", "Hf", "Hg"], "frac_coords": [[0.500, 0.500, 0.500], [0.000, 0.500, 0.000], [0.000, 0.000, 0.500], [0.500, 0.000, 0.000], [0.000, 0.000, 0.000]], "raw_formation_energy_ev_per_atom": 1.131}